# 1
Density functional theory data (GGA-PBE) for crystalline TbPmGdTl at its relaxed geometry.

## Properties
volume = 119 Å³ per cell
energy of formation = -0.04 eV per atom
ρ = 9.28 Mg/m³

Cell lengths 5.5233, 5.5233, 5.5233 Å; angles 60.00, 60.00, 60.00 degrees
Element x y z (fractional)
Tb 0.0000 0.0000 0.0000
Pm 0.2500 0.2500 0.2500
Gd 0.5000 0.5000 0.5000
Tl 0.7500 0.7500 0.7500


# 2
Density functional theory data (GGA-PBE) for crystalline TbPmGdTm at its relaxed geometry.

## Properties
volume = 130 Å³ per cell
energy of formation = 0.12 eV per atom
ρ = 8.03 Mg/m³

Cell lengths 5.6908, 5.6908, 5.6908 Å; angles 60.00, 60.00, 60.00 degrees
Element x y z (fractional)
Tb 0.0000 0.0000 0.0000
Pm 0.7500 0.7500 0.7500
Gd 0.5000 0.5000 0.5000
Tm 0.2500 0.2500 0.2500


# 3
Density functional theory data (GGA-PBE) for crystalline TbPmGdZr at its relaxed geometry.

## Properties
volume = 120 Å³ per cell
energy of formation = 0.21 eV per atom
ρ = 7.63 Mg/m³

Cell lengths 5.5391, 5.5391, 5.5391 Å; angles 60.00, 60.00, 60.00 degrees
Element x y z (fractional)
Tb 0.0000 0.0000 0.0000
Pm 0.7500 0.7500 0.7500
Gd 0.2500 0.2500 0.2500
Zr 0.5000 0.5000 0.5000


# 4
Density functional theory data (GGA-PBE) for crystalline PmGd3Tc at its relaxed geometry.

## Properties
volume = 159 Å³ per cell
energy of formation = 0.10 eV per atom
ρ = 7.46 Mg/m³

Cell lengths 5.4178, 5.4178, 5.4178 Å; angles 90.00, 90.00, 90.00 degrees
Element x y z (fractional)
Pm 0.0000 0.0000 0.0000
Gd 0.0000 0.5000 0.5000
Gd 0.5000 0.0000 0.5000
Gd 0.5000 0.5000 0.0000
Tc 0.5000 0.5000 0.5000


# 5
Density functional theory data (GGA-PBE) for crystalline PmGdZnTc at its relaxed geometry.

## Properties
volume = 89 Å³ per cell
energy of formation = -0.08 eV per atom
ρ = 8.69 Mg/m³

Cell lengths 5.0109, 5.0109, 5.0109 Å; angles 60.00, 60.00, 60.00 degrees
Element x y z (fractional)
Pm 0.0000 0.0000 0.0000
Gd 0.5000 0.5000 0.5000
Zn 0.7500 0.7500 0.7500
Tc 0.2500 0.2500 0.2500


# 6
Density functional theory data (GGA-PBE) for crystalline Pm12Gd3Te5 at its relaxed geometry.

## Properties
volume = 3242 Å³ per cell
ΔE_f (raw) = -146 meV per atom
ρ = 5.84 Mg/m³

Cell lengths 16.1491, 16.1491, 16.1491 Å; angles 109.47, 109.47, 109.47 degrees
Element x y z (fractional)
Pm 0.0520 0.2231 0.1235
Pm 0.0520 0.3289 0.9285
Pm 0.0715 0.6235 0.4004
Pm 0.0715 0.9480 0.6711
Pm 0.0996 0.7231 0.6711
Pm 0.0996 0.8765 0.4285
Pm 0.1235 0.0520 0.2231
Pm 0.1235 0.5715 0.9004
Pm 0.1711 0.2231 0.5996
Pm 0.1711 0.4480 0.5715
Pm 0.2231 0.1235 0.0520
Pm 0.2231 0.5996 0.1711
Pm 0.2769 0.3289 0.9004
Pm 0.2769 0.4480 0.3765
Pm 0.3289 0.9004 0.2769
Pm 0.3289 0.9285 0.0520
Pm 0.3765 0.2769 0.4480
Pm 0.3765 0.5996 0.9285
Pm 0.4004 0.0715 0.6235
Pm 0.4004 0.8289 0.7769
Pm 0.4285 0.0996 0.8765
Pm 0.4285 0.8289 0.5520
Pm 0.4480 0.3765 0.2769
Pm 0.4480 0.5715 0.1711
Pm 0.5520 0.4285 0.8289
Pm 0.5520 0.6235 0.7231
Pm 0.5715 0.1711 0.4480
Pm 0.5715 0.9004 0.1235
Pm 0.5996 0.1711 0.2231
Pm 0.5996 0.9285 0.3765
Pm 0.6235 0.4004 0.0715
Pm 0.6235 0.7231 0.5520
Pm 0.6711 0.0715 0.9480
Pm 0.6711 0.0996 0.7231
Pm 0.7231 0.5520 0.6235
Pm 0.7231 0.6711 0.0996
Pm 0.7769 0.4004 0.8289
Pm 0.7769 0.8765 0.9480
Pm 0.8289 0.5520 0.4285
Pm 0.8289 0.7769 0.4004
Pm 0.8765 0.4285 0.0996
Pm 0.8765 0.9480 0.7769
Pm 0.9004 0.1235 0.5715
Pm 0.9004 0.2769 0.3289
Pm 0.9285 0.0520 0.3289
Pm 0.9285 0.3765 0.5996
Pm 0.9480 0.6711 0.0715
Pm 0.9480 0.7769 0.8765
Gd 0.1250 0.2500 0.3750
Gd 0.1250 0.3750 0.7500
Gd 0.2500 0.3750 0.1250
Gd 0.2500 0.8750 0.6250
Gd 0.3750 0.1250 0.2500
Gd 0.3750 0.7500 0.1250
Gd 0.6250 0.2500 0.8750
Gd 0.6250 0.8750 0.7500
Gd 0.7500 0.1250 0.3750
Gd 0.7500 0.6250 0.8750
Gd 0.8750 0.6250 0.2500
Gd 0.8750 0.7500 0.6250
Te 0.0000 0.0000 0.0000
Te 0.0000 0.0000 0.5000
Te 0.0000 0.5000 0.0000
Te 0.0000 0.5000 0.5000
Te 0.1250 0.7500 0.8750
Te 0.1250 0.8750 0.2500
Te 0.2500 0.1250 0.8750
Te 0.2500 0.6250 0.3750
Te 0.3750 0.2500 0.6250
Te 0.3750 0.6250 0.7500
Te 0.5000 0.0000 0.0000
Te 0.5000 0.0000 0.5000
Te 0.5000 0.5000 0.0000
Te 0.5000 0.5000 0.5000
Te 0.6250 0.3750 0.2500
Te 0.6250 0.7500 0.3750
Te 0.7500 0.3750 0.6250
Te 0.7500 0.8750 0.1250
Te 0.8750 0.1250 0.7500
Te 0.8750 0.2500 0.1250


Question: What is the formula in the fourth record?
Answer: PmGd3Tc